Density functional theory data (PBE-GGA) for an optimized crystal structure of Ga7Pt5.

Lattice parameters (Å, degrees): 3.9292 5.2633 11.0722 100.96 90.00 111.92
With the nearest neighbours (Å) after each atom.
Fractional coordinates of all 12 atoms:
1 Ga 0.2563 0.5125 0.6644  5 Pt 2.54-2.63, 1 Ga 2.69
2 Ga 0.7437 0.4875 0.3356  5 Pt 2.54-2.63, 1 Ga 2.69
3 Ga 0.9638 0.9275 0.2236  4 Pt 2.55-2.79, 1 Ga 2.69
4 Ga 0.0362 0.0725 0.7764  4 Pt 2.55-2.79, 1 Ga 2.69
5 Ga 0.6623 0.3246 0.0297  5 Pt 2.50-2.62, 2 Ga 2.77
6 Ga 0.5000 0.0000 0.5000  4 Pt 2.59
7 Ga 0.3377 0.6754 0.9703  5 Pt 2.50-2.62, 2 Ga 2.77
8 Pt 0.1382 0.2764 0.4299  6 Ga 2.54-2.62
9 Pt 0.8618 0.7236 0.5701  6 Ga 2.54-2.62
10 Pt 0.2564 0.5128 0.1807  7 Ga 2.61-2.79, 1 Pt 2.87
11 Pt 0.7436 0.4872 0.8193  7 Ga 2.61-2.79, 1 Pt 2.87
12 Pt 0.0000 0.0000 0.0000  6 Ga 2.50-2.57

Output
Mass density: 11.69 g/cm3
Energy relative to the elements: -6.1 eV per formula unit